<1>
A relaxed CaBiCl crystal, computed with PBE.

a = 3.484 Å, b = 3.484 Å, c = 8.376 Å
α = 101.94°, β = 101.79°, γ = 90.00°
Fractional positions:
Ca1 0.254 0.455 0.567
Bi1 0.908 0.111 0.882
Cl1 0.668 0.869 0.393

- symmetry = P1, No. 1
- mass density (g cm⁻³) = 4.86


<2>
A relaxed CaBiCl crystal, computed with PBE.

a = 4.721 Å, b = 8.246 Å, c = 4.753 Å
α = 90.00°, β = 90.00°, γ = 90.00°
Fractional positions:
Ca1 0.000 0.308 0.500
Ca2 0.500 0.692 0.000
Bi1 0.000 0.000 0.000
Bi2 0.500 0.000 0.500
Cl1 0.000 0.499 0.000
Cl2 0.500 0.501 0.500

- symmetry = Pmmn, No. 59
- mass density (g cm⁻³) = 5.11


<3>
A relaxed CaBiCl crystal, computed with PBE.

a = 3.742 Å, b = 3.741 Å, c = 8.708 Å
α = 90.38°, β = 101.49°, γ = 119.99°
Fractional positions:
Ca1 0.204 0.964 0.573
Bi1 0.735 0.734 0.887
Cl1 0.417 0.567 0.381

- symmetry = P1, No. 1
- mass density (g cm⁻³) = 4.60


<4>
A relaxed CaBiCl crystal, computed with PBE.

a = 3.891 Å, b = 4.351 Å, c = 13.177 Å
α = 88.39°, β = 90.00°, γ = 116.56°
Fractional positions:
Ca1 0.151 0.303 0.228
Ca2 0.849 0.697 0.772
Bi1 0.445 0.890 0.396
Bi2 0.555 0.110 0.604
Cl1 0.157 0.314 0.872
Cl2 0.843 0.686 0.128

- symmetry = C2/m, No. 12
- mass density (g cm⁻³) = 4.74


Of them, <3> has the lowest stability.


<1>
A relaxed CaBiCl crystal, computed with PBE.

a = 4.734 Å, b = 4.734 Å, c = 16.471 Å
α = 90.00°, β = 90.00°, γ = 90.00°
Fractional positions:
Ca1 0.000 0.000 0.654
Ca2 0.000 0.000 0.346
Ca3 0.500 0.500 0.154
Ca4 0.500 0.500 0.846
Bi1 0.000 0.500 0.000
Bi2 0.500 0.000 0.000
Bi3 0.500 0.000 0.500
Bi4 0.000 0.500 0.500
Cl1 0.000 0.500 0.250
Cl2 0.000 0.500 0.750
Cl3 0.500 0.000 0.750
Cl4 0.500 0.000 0.250

- symmetry = I4/mmm, No. 139
- mass density (g cm⁻³) = 5.12


<2>
A relaxed CaBiCl crystal, computed with PBE.

a = 5.107 Å, b = 4.403 Å, c = 8.717 Å
α = 90.00°, β = 104.28°, γ = 90.00°
Fractional positions:
Ca1 0.178 0.250 0.320
Ca2 0.822 0.750 0.680
Bi1 0.768 0.250 0.968
Bi2 0.232 0.750 0.032
Cl1 0.736 0.250 0.460
Cl2 0.264 0.750 0.540

- symmetry = P2_1/m, No. 11
- mass density (g cm⁻³) = 4.97


Of them, <2> has the lowest stability.